No. 1
A relaxed CrCd crystal. Source: Alexandria via LeMat-Bulk, functional PBE.

Lattice parameters (Å, degrees): 5.692 5.692 4.654 90.00 90.00 149.31
Element x y z (fractional)
Cr  0.167  0.833  0.750
Cr  0.833  0.167  0.250
Cd  0.422  0.578  0.750
Cd  0.578  0.422  0.250

Computed properties:
- Space-group type: Cmcm
- Spin magnetization: 4.00 μB per formula unit
- DFT formation energy: 605 meV/atom
- N(E_F): 0.758 states/eV/atom

=====

No. 2
A relaxed CePaTcRh crystal. Source: Alexandria via LeMat-Bulk, functional PBE.

Lattice parameters (Å, degrees): 4.878 4.878 4.878 60.00 60.00 60.00
Element x y z (fractional)
Ce  0.000  0.000  0.000
Pa  0.500  0.500  0.500
Tc  0.250  0.250  0.250
Rh  0.750  0.750  0.750

Computed properties:
- Space-group type: F-43m
- Spin magnetization: 0.00 μB per formula unit
- DFT formation energy: -337 meV/atom
- N(E_F): 1.402 states/eV/atom

=====

No. 3
A relaxed CaSc2Rh crystal. Source: Alexandria via LeMat-Bulk, functional PBE.

Lattice parameters (Å, degrees): 3.560 7.817 7.817 28.40 90.00 90.00
Element x y z (fractional)
Ca  0.000  0.000  0.000
Sc  0.000  0.301  0.301
Sc  0.500  0.667  0.667
Rh  0.500  0.835  0.835

Computed properties:
- Space-group type: Amm2
- Spin magnetization: 0.02 μB per formula unit
- DFT formation energy: -319 meV/atom
- N(E_F): 0.822 states/eV/atom

=====

No. 4
A relaxed ZrScIn2 crystal. Source: Alexandria via LeMat-Bulk, functional PBE.

Lattice parameters (Å, degrees): 3.183 3.183 8.802 90.00 90.00 90.00
Element x y z (fractional)
Zr  0.000  0.000  0.000
Sc  0.000  0.000  0.500
In  0.500  0.500  0.251
In  0.500  0.500  0.749

Computed properties:
- Space-group type: P4/mmm
- Spin magnetization: 0.45 μB per formula unit
- DFT formation energy: -372 meV/atom
- N(E_F): 0.961 states/eV/atom

=====

No. 5
A relaxed TlFeP2 crystal. Source: Alexandria via LeMat-Bulk, functional PBE.

Lattice parameters (Å, degrees): 4.616 4.616 4.616 60.00 60.00 60.00
Element x y z (fractional)
Tl  0.000  0.000  0.000
Fe  0.750  0.750  0.750
P  0.250  0.250  0.250
P  0.500  0.500  0.500

Computed properties:
- Space-group type: F-43m
- Spin magnetization: 2.52 μB per formula unit
- DFT formation energy: 877 meV/atom
- N(E_F): 1.360 states/eV/atom

=====

No. 6
A relaxed LuPuCrOs crystal. Source: Alexandria via LeMat-Bulk, functional PBE.

Lattice parameters (Å, degrees): 4.774 4.774 4.774 60.00 60.00 60.00
Element x y z (fractional)
Lu  0.000  0.000  0.000
Pu  0.500  0.500  0.500
Cr  0.750  0.750  0.750
Os  0.250  0.250  0.250

Computed properties:
- Space-group type: F-43m
- Spin magnetization: 1.65 μB per formula unit
- DFT formation energy: 15 meV/atom
- N(E_F): 1.223 states/eV/atom

=====

No. 7
A relaxed Pu3Se3Cl crystal. Source: Alexandria via LeMat-Bulk, functional PBE.

Lattice parameters (Å, degrees): 7.724 7.724 7.724 69.08 69.08 69.08
Element x y z (fractional)
Pu  0.052  0.774  0.441
Pu  0.226  0.559  0.948
Pu  0.441  0.052  0.774
Pu  0.559  0.948  0.226
Pu  0.774  0.441  0.052
Pu  0.948  0.226  0.559
Se  0.123  0.395  0.712
Se  0.288  0.877  0.605
Se  0.395  0.712  0.123
Se  0.605  0.288  0.877
Se  0.712  0.123  0.395
Se  0.877  0.605  0.288
Cl  0.175  0.175  0.175
Cl  0.825  0.825  0.825

Computed properties:
- Space-group type: R-3
- Spin magnetization: 17.00 μB per formula unit
- Formation energy without anion corrections: -10.49 eV/f.u.
- N(E_F): 3.818 states/eV/atom

=====

No. 8
A relaxed UHRu2 crystal. Source: Alexandria via LeMat-Bulk, functional PBE.

Lattice parameters (Å, degrees): 5.632 5.632 5.632 36.18 36.18 36.18
Element x y z (fractional)
U  0.000  0.000  0.000
H  0.500  0.500  0.500
Ru  0.229  0.229  0.229
Ru  0.771  0.771  0.771

Computed properties:
- Space-group type: R-3m
- Spin magnetization: 0.00 μB per formula unit
- N(E_F): 0.892 states/eV/atom
- Total energy: -32.789 eV for the cell shown